(1)
# HoNp3Tl3Te8 | the Alexandria database | GGA-PBE | relaxed
data_HoNp3Tl3Te8
_chemical_formula_sum 'Ho1 Np3 Tl3 Te8'
_cell_length_a 8.867
_cell_length_b 8.863
_cell_length_c 9.683
_cell_angle_alpha 117.22
_cell_angle_beta 90.00
_cell_angle_gamma 120.02
_symmetry_space_group_name_H-M 'P 1'
_symmetry_Int_Tables_number 1
loop_
_symmetry_equiv_pos_as_xyz
'x,y,z'
loop_
_atom_site_label
_atom_site_type_symbol
_atom_site_fract_x
_atom_site_fract_y
_atom_site_fract_z
Te1 Te 0.763 0.525 0.288
Te2 Te 0.237 0.475 0.712
Te3 Te 0.737 0.975 0.712
Tl1 Tl 0.000 0.000 0.000
Tl2 Tl 0.500 0.500 0.000
Te4 Te 0.237 0.975 0.712
Tl3 Tl 0.000 0.500 0.000
Np1 Np 0.000 0.500 0.500
Np2 Np 0.500 0.000 0.500
Ho1 Ho 0.000 0.000 0.500
Te5 Te 0.263 0.025 0.288
Np3 Np 0.500 0.500 0.500
Te6 Te 0.763 0.025 0.288
Te7 Te 0.738 0.476 0.714
Te8 Te 0.262 0.524 0.286
# VASP energy = -5.740 eV/atom
# space-group type = R-3m, No. 166
# ΔE_f (raw) = -1011 kJ/mol of formula units


(2)
# Ho2NpTl3Te6 | the Alexandria database | GGA-PBE | relaxed
data_Ho2NpTl3Te6
_chemical_formula_sum 'Ho2 Np1 Tl3 Te6'
_cell_length_a 7.735
_cell_length_b 7.735
_cell_length_c 8.555
_cell_angle_alpha 98.67
_cell_angle_beta 98.67
_cell_angle_gamma 120.00
_symmetry_space_group_name_H-M 'P 1'
_symmetry_Int_Tables_number 1
loop_
_symmetry_equiv_pos_as_xyz
'x,y,z'
loop_
_atom_site_label
_atom_site_type_symbol
_atom_site_fract_x
_atom_site_fract_y
_atom_site_fract_z
Te1 Te 0.929 0.590 0.786
Tl1 Tl 0.500 0.500 0.500
Te2 Te 0.268 0.268 0.788
Np1 Np 0.000 0.000 0.000
Tl2 Tl 0.165 0.835 0.500
Te3 Te 0.410 0.071 0.214
Ho1 Ho 0.667 0.333 0.000
Te4 Te 0.590 0.929 0.786
Tl3 Tl 0.835 0.165 0.500
Te5 Te 0.071 0.410 0.214
Ho2 Ho 0.333 0.667 0.000
Te6 Te 0.732 0.732 0.212
# VASP energy = -4.880 eV/atom
# space-group type = C2/m, No. 12
# ΔE_f (raw) = -1015 kJ/mol of formula units


(3)
# Ho3NpTl3Te8 | the Alexandria database | GGA-PBE | relaxed
data_Ho3NpTl3Te8
_chemical_formula_sum 'Ho3 Np1 Tl3 Te8'
_cell_length_a 8.801
_cell_length_b 8.802
_cell_length_c 9.686
_cell_angle_alpha 117.01
_cell_angle_beta 90.00
_cell_angle_gamma 120.00
_symmetry_space_group_name_H-M 'P 1'
_symmetry_Int_Tables_number 1
loop_
_symmetry_equiv_pos_as_xyz
'x,y,z'
loop_
_atom_site_label
_atom_site_type_symbol
_atom_site_fract_x
_atom_site_fract_y
_atom_site_fract_z
Tl1 Tl 0.500 0.500 0.000
Ho1 Ho 0.000 0.500 0.500
Tl2 Tl 0.000 0.500 0.000
Np1 Np 0.000 0.000 0.500
Te1 Te 0.262 0.525 0.287
Te2 Te 0.738 0.475 0.713
Tl3 Tl 0.000 0.000 0.000
Te3 Te 0.763 0.526 0.288
Te4 Te 0.263 0.026 0.288
Te5 Te 0.237 0.474 0.712
Ho2 Ho 0.500 0.000 0.500
Te6 Te 0.737 0.974 0.712
Te7 Te 0.763 0.026 0.288
Ho3 Ho 0.500 0.500 0.500
Te8 Te 0.237 0.974 0.712
# VASP energy = -4.877 eV/atom
# space-group type = R-3m, No. 166
# ΔE_f (raw) = -1375 kJ/mol of formula units


(4)
# Ho3NpTl4Te8 | the Alexandria database | GGA-PBE | relaxed
data_Ho3NpTl4Te8
_chemical_formula_sum 'Ho3 Np1 Tl4 Te8'
_cell_length_a 8.910
_cell_length_b 9.654
_cell_length_c 8.911
_cell_angle_alpha 117.49
_cell_angle_beta 120.00
_cell_angle_gamma 90.00
_symmetry_space_group_name_H-M 'P 1'
_symmetry_Int_Tables_number 1
loop_
_symmetry_equiv_pos_as_xyz
'x,y,z'
loop_
_atom_site_label
_atom_site_type_symbol
_atom_site_fract_x
_atom_site_fract_y
_atom_site_fract_z
Te1 Te 0.733 0.713 0.973
Te2 Te 0.760 0.287 0.027
Te3 Te 0.267 0.287 0.027
Tl1 Tl 0.500 0.000 0.500
Ho1 Ho 0.500 0.500 0.000
Te4 Te 0.760 0.287 0.520
Te5 Te 0.263 0.288 0.525
Tl2 Tl 0.000 0.000 0.000
Tl3 Tl 0.500 0.000 0.000
Ho2 Ho 0.000 0.500 0.500
Tl4 Tl 0.000 0.000 0.500
Te6 Te 0.240 0.713 0.973
Te7 Te 0.737 0.712 0.475
Te8 Te 0.240 0.713 0.480
Ho3 Ho 0.500 0.500 0.500
Np1 Np 0.000 0.500 0.000
# VASP energy = -4.748 eV/atom
# space-group type = R-3m, No. 166
# ΔE_f (raw) = -1418 kJ/mol of formula units


(5)
# HoThNp | the Alexandria database | GGA-PBE | relaxed
data_HoThNp
_chemical_formula_sum 'Ho2 Th2 Np2'
_cell_length_a 3.502
_cell_length_b 5.732
_cell_length_c 8.684
_cell_angle_alpha 99.35
_cell_angle_beta 101.63
_cell_angle_gamma 90.00
_symmetry_space_group_name_H-M 'P 1'
_symmetry_Int_Tables_number 1
loop_
_symmetry_equiv_pos_as_xyz
'x,y,z'
loop_
_atom_site_label
_atom_site_type_symbol
_atom_site_fract_x
_atom_site_fract_y
_atom_site_fract_z
Np1 Np 0.235 0.858 0.470
Ho1 Ho 0.439 0.219 0.877
Th1 Th 0.130 0.310 0.260
Ho2 Ho 0.561 0.781 0.123
Np2 Np 0.765 0.142 0.530
Th2 Th 0.870 0.690 0.740
# VASP energy = -8.105 eV/atom
# space-group type = C2/m, No. 12
# E_form = 208 meV/atom


(6)
# YHoNp | the Alexandria database | GGA-PBE | relaxed
data_YHoNp
_chemical_formula_sum 'Y2 Ho2 Np2'
_cell_length_a 3.552
_cell_length_b 5.798
_cell_length_c 8.619
_cell_angle_alpha 100.46
_cell_angle_beta 101.89
_cell_angle_gamma 90.00
_symmetry_space_group_name_H-M 'P 1'
_symmetry_Int_Tables_number 1
loop_
_symmetry_equiv_pos_as_xyz
'x,y,z'
loop_
_atom_site_label
_atom_site_type_symbol
_atom_site_fract_x
_atom_site_fract_y
_atom_site_fract_z
Np1 Np 0.762 0.140 0.524
Y1 Y 0.434 0.209 0.869
Y2 Y 0.566 0.791 0.131
Ho1 Ho 0.124 0.320 0.249
Np2 Np 0.238 0.860 0.476
Ho2 Ho 0.876 0.680 0.751
# VASP energy = -7.765 eV/atom
# space-group type = C2/m, No. 12
# E_form = 230 meV/atom


(7)
# Ho2NpZn | the Alexandria database | GGA-PBE | relaxed
data_Ho2NpZn
_chemical_formula_sum 'Ho2 Np1 Zn1'
_cell_length_a 3.369
_cell_length_b 3.369
_cell_length_c 8.809
_cell_angle_alpha 90.00
_cell_angle_beta 90.00
_cell_angle_gamma 90.00
_symmetry_space_group_name_H-M 'P 1'
_symmetry_Int_Tables_number 1
loop_
_symmetry_equiv_pos_as_xyz
'x,y,z'
loop_
_atom_site_label
_atom_site_type_symbol
_atom_site_fract_x
_atom_site_fract_y
_atom_site_fract_z
Ho1 Ho 0.000 0.000 0.719
Np1 Np 0.500 0.500 0.000
Ho2 Ho 0.000 0.000 0.281
Zn1 Zn 0.500 0.500 0.500
# VASP energy = -5.725 eV/atom
# space-group type = P4/mmm, No. 123
# E_form = 118 meV/atom


(8)
# HoNpZn17 | the Alexandria database | GGA-PBE | relaxed
data_HoNpZn17
_chemical_formula_sum 'Ho1 Np1 Zn17'
_cell_length_a 6.789
_cell_length_b 6.789
_cell_length_c 6.789
_cell_angle_alpha 82.64
_cell_angle_beta 82.64
_cell_angle_gamma 82.64
_symmetry_space_group_name_H-M 'P 1'
_symmetry_Int_Tables_number 1
loop_
_symmetry_equiv_pos_as_xyz
'x,y,z'
loop_
_atom_site_label
_atom_site_type_symbol
_atom_site_fract_x
_atom_site_fract_y
_atom_site_fract_z
Zn1 Zn 0.000 0.703 0.297
Zn2 Zn 0.646 0.162 0.646
Zn3 Zn 0.000 0.297 0.703
Zn4 Zn 0.703 0.000 0.297
Zn5 Zn 0.297 0.703 0.000
Zn6 Zn 0.100 0.100 0.100
Zn7 Zn 0.162 0.646 0.646
Zn8 Zn 0.839 0.353 0.353
Zn9 Zn 0.353 0.353 0.839
Np1 Np 0.335 0.335 0.335
Zn10 Zn 0.646 0.646 0.162
Zn11 Zn 0.353 0.839 0.353
Zn12 Zn 0.001 0.001 0.499
Zn13 Zn 0.297 0.000 0.703
Zn14 Zn 0.001 0.499 0.001
Zn15 Zn 0.900 0.900 0.900
Zn16 Zn 0.703 0.297 0.000
Zn17 Zn 0.499 0.001 0.001
Ho1 Ho 0.665 0.665 0.665
# VASP energy = -2.201 eV/atom
# space-group type = R3m, No. 160
# E_form = -139 meV/atom